# 1
# Sr2Ga3HgAu4

Sr2Ga3HgAu4 after structural relaxation (PBE, Alexandria).

## Properties
energy: -3.13 eV/atom

POSCAR file:
```
Sr2Ga3HgAu4
1.0
4.572 0.000 0.000
0.000 4.572 0.000
0.000 0.000 11.110
Sr Ga Hg Au
2 3 1 4
Direct
0.000 0.500 0.243
0.500 0.000 0.757
0.000 0.500 0.882
0.500 0.000 0.118
0.500 0.500 0.500
0.000 0.000 0.500
0.000 0.000 0.000
0.000 0.500 0.653
0.500 0.000 0.347
0.500 0.500 0.000
```

---

# 2
# Sr3Ga2HgAu6

Sr3Ga2HgAu6 after structural relaxation (PBE, Alexandria).

## Properties
energy: -3.03 eV/atom

POSCAR file:
```
Sr3Ga2HgAu6
1.0
6.508 0.000 0.000
-3.254 5.636 0.000
0.000 0.000 8.585
Sr Ga Hg Au
3 2 1 6
Direct
0.000 0.000 0.000
0.333 0.667 0.638
0.667 0.333 0.362
0.333 0.667 0.037
0.667 0.333 0.963
0.000 0.000 0.500
0.184 0.367 0.278
0.184 0.816 0.278
0.367 0.184 0.722
0.633 0.816 0.278
0.816 0.184 0.722
0.816 0.633 0.722
```

---

# 3
# TbGaHgAu

TbGaHgAu after structural relaxation (PBE, Alexandria).

## Properties
energy: -3.31 eV/atom

POSCAR file:
```
TbGaHgAu
1.0
0.000 3.507 3.507
3.507 0.000 3.507
3.507 3.507 0.000
Tb Ga Hg Au
1 1 1 1
Direct
0.000 0.000 0.000
0.500 0.500 0.500
0.250 0.250 0.250
0.750 0.750 0.750
```